[1]
Compound: Sc3Se
Source: the Alexandria database
Functional: PBE-GGA
Structure: relaxed

Structure (extended XYZ):
```
4
Lattice="5.731 0.000 0.000 2.721 5.044 0.000 -4.226 -2.522 2.937" Properties=species:S:1:pos:R:3 pbc="T T T"
Sc 2.866 0.000 1.469
Sc 4.226 2.522 0.000
Se 0.000 0.000 0.000
Sc 1.360 2.522 1.469
```

Total magnetic moment = 0.364 μB/cell
Uncorrected formation energy = -0.44 eV per atom


[2]
Compound: Pu2IrPt
Source: the Alexandria database
Functional: PBE-GGA
Structure: relaxed

Structure (extended XYZ):
```
4
Lattice="3.031 0.000 0.000 0.000 5.200 0.000 0.000 0.000 5.200" Properties=species:S:1:pos:R:3 pbc="T T T"
Pu 0.000 2.600 0.000
Ir 1.516 2.600 2.600
Pu 0.000 0.000 2.600
Pt 1.516 0.000 0.000
```

Total magnetic moment = 10.394 μB/cell
Formation energy from the elements = -0.58 eV/atom


[3]
Compound: Al3C
Source: the Alexandria database
Functional: PBE-GGA
Structure: relaxed

Structure (extended XYZ):
```
4
Lattice="-0.658 -0.984 2.826 -4.258 -1.042 -1.355 -0.975 -4.158 -1.675" Properties=species:S:1:pos:R:3 pbc="T T T"
Al -2.184 -2.170 -1.264
Al -0.432 -0.430 -0.250
Al -4.254 -4.392 -0.860
C -1.638 -1.792 0.655
```

Total magnetic moment = 0.000 μB/cell
Formation energy from the elements = 0.22 eV/atom


[4]
Compound: Ag2Pd5Pb2
Source: the Alexandria database
Functional: PBE-GGA
Structure: relaxed

Structure (extended XYZ):
```
18
Lattice="7.138 0.000 0.000 0.000 5.569 0.000 -3.569 -2.784 8.419" Properties=species:S:1:pos:R:3 pbc="T T T"
Ag 2.765 -0.362 1.225
Pd -1.887 -1.735 6.867
Pb 0.664 1.854 4.209
Pd 0.375 -0.696 2.813
Pb 2.905 -0.930 4.209
Pd 3.194 2.089 5.605
Ag 2.765 -0.362 7.194
Pd 5.251 3.834 1.552
Pd -1.682 1.050 6.867
Pd 0.375 -0.696 5.605
Pd 5.456 1.050 1.552
Pd -1.689 3.243 4.209
Ag 0.804 2.422 7.194
Pb 0.000 5.144 0.000
Pb 3.569 2.359 0.000
Pd 3.194 2.089 2.813
Ag 0.804 2.422 1.225
Pd 5.258 0.459 4.209
```

Total magnetic moment = 0.000 μB/cell
Formation energy from the elements = -0.08 eV/atom


[5]
Compound: Ba2InAg9
Source: the Alexandria database
Functional: PBE-GGA
Structure: relaxed

Structure (extended XYZ):
```
12
Lattice="5.856 0.000 0.000 2.928 5.072 0.000 2.928 1.691 9.601" Properties=species:S:1:pos:R:3 pbc="T T T"
Ag 5.856 3.381 4.801
In 0.000 0.000 0.000
Ag 7.320 4.226 7.305
Ag 2.928 1.691 0.017
Ag 4.392 4.226 7.305
Ba 8.784 5.072 3.899
Ag 4.392 2.536 2.296
Ag 5.856 5.072 2.296
Ag 5.856 1.691 7.305
Ag 7.320 2.536 2.296
Ba 2.928 1.691 5.702
Ag 8.784 5.072 9.585
```

Total magnetic moment = 0.000 μB/cell
Formation energy from the elements = -0.05 eV/atom


[6]
Compound: Tm3ScTl4Te8
Source: the Alexandria database
Functional: PBE-GGA
Structure: relaxed

Structure (extended XYZ):
```
16
Lattice="-3.173 8.110 -0.830 -2.840 -2.027 -8.954 -2.933 -5.212 6.385" Properties=species:S:1:pos:R:3 pbc="T T T"
Tl -3.053 1.449 2.777
Te -4.840 2.841 0.165
Sc -1.420 -1.014 -4.477
Tl -1.587 4.055 -0.415
Te -1.717 1.359 -2.677
Te -7.229 -0.489 -0.722
Te -5.605 -4.637 -0.298
Tl 0.000 0.000 0.000
Te -3.194 -1.193 0.555
Te -5.752 2.063 -3.954
Tm -2.886 -3.620 -1.284
Tl -1.466 -2.606 3.192
Tm -3.007 3.041 -4.892
Te -4.105 -1.971 -3.564
Te -3.340 5.508 -3.101
Tm -4.473 0.435 -1.699
```

Total magnetic moment = 0.000 μB/cell
Uncorrected formation energy = -1.00 eV per atom